(1)
VASP calculation (GGA-PBEsol) on an optimized crystal structure of SbAu2Br.

Cell: 3.1629 4.9256 10.9263 Å, 90.00 90.00 90.00°
Last column: nearest neighbours and their distance in Å.
Space group Immm (No. 71)
One atom of each set of equivalent atoms:
Sb  0.0000  0.0000  0.0000  4 Br 2.93, 4 Au 2.95, 2 Sb 3.16
Au  0.0000  0.5000  0.2716  2 Sb 2.95, 6 Au 2.96-3.16
Br  0.0000  0.0000  0.5000  4 Sb 2.93, 2 Br 3.16

Computed properties:
excess energy over the best structure of this formula in the dataset = 0.231 eV/atom
calculated volume = 170.2 Å³ per cell

***

(2)
VASP calculation (GGA-PBEsol) on an optimized crystal structure of SbAu2Br.

Cell: 6.5842 6.5842 10.5220 Å, 90.00 90.00 90.00°
Last column: nearest neighbours and their distance in Å.
Space group I-42d (No. 122)
One atom of each set of equivalent atoms:
Sb  0.0000  0.0000  0.0000  4 Au 2.60
Au  0.2308  0.7500  0.1250  2 Sb 2.60, 2 Br 2.75
Br  0.0000  0.0000  0.5000  4 Au 2.75

Computed properties:
excess energy over the best structure of this formula in the dataset = 0.173 eV/atom
calculated volume = 456.1 Å³ per cell

***

(3)
VASP calculation (GGA-PBEsol) on an optimized crystal structure of SbAuBr2.

Cell: 3.5733 3.5733 25.9068 Å, 90.00 90.00 120.00°
Last column: nearest neighbours and their distance in Å.
Space group R-3m (No. 166, hexagonal axes)
One atom of each set of equivalent atoms:
Sb  0.0000  0.0000  0.0000  6 Br 3.20, 6 Sb 3.57
Au  0.0000  0.0000  0.5000  6 Br 2.79
Br  0.0000  0.0000  0.2391  3 Au 2.79

Computed properties:
excess energy over the best structure of this formula in the dataset = 0.211 eV/atom
calculated volume = 286.5 Å³ per cell

***

(4)
VASP calculation (GGA-PBEsol) on an optimized crystal structure of SbAuBr2.

Cell: 13.9524 3.6254 4.4237 Å, 90.00 90.84 90.00°
Last column: nearest neighbours and their distance in Å.
Space group C2/m (No. 12)
One atom of each set of equivalent atoms:
Sb  0.0000  0.0000  0.0000  4 Au 2.86, 4 Br 3.10
Au  0.0000  0.5000  0.5000  2 Br 2.58, 4 Sb 2.86
Br  0.1645  0.5000  0.7741  1 Au 2.58

Computed properties:
excess energy over the best structure of this formula in the dataset = 0.000 eV/atom
calculated volume = 223.7 Å³ per cell

***

(5)
VASP calculation (GGA-PBEsol) on an optimized crystal structure of Sb2AuBr.

Cell: 6.0627 6.0627 14.3559 Å, 90.00 90.00 90.00°
Last column: nearest neighbours and their distance in Å.
Space group I-42d (No. 122)
One atom of each set of equivalent atoms:
Sb  0.1937  0.2500  0.1250  2 Au 2.63
Au  0.0000  0.0000  0.0000  4 Sb 2.63
Br  0.0000  0.0000  0.5000  4 Sb 2.99

Computed properties:
excess energy over the best structure of this formula in the dataset = 0.458 eV/atom
calculated volume = 527.7 Å³ per cell

***

(6)
VASP calculation (GGA-PBEsol) on an optimized crystal structure of Sb2TeAuBr.

Cell: 5.4618 5.4618 5.3232 Å, 90.00 90.00 90.00°
Last column: nearest neighbours and their distance in Å.
Space group P4/mmm (No. 123)
One atom of each set of equivalent atoms:
Sb  0.0000  0.5000  0.0000  2 Br 2.73
Te  0.0000  0.0000  0.5000  2 Br 2.66
Au  0.5000  0.5000  0.5000  8 Sb 3.81, 4 Te 3.86
Br  0.0000  0.0000  0.0000  2 Te 2.66, 4 Sb 2.73

Computed properties:
calculated volume = 158.8 Å³ per cell

***

(7)
VASP calculation (GGA-PBEsol) on an optimized crystal structure of ScAuBr2.

Cell: 3.7543 3.7543 25.8707 Å, 90.00 90.00 120.00°
Last column: nearest neighbours and their distance in Å.
Space group R-3m (No. 166, hexagonal axes)
One atom of each set of equivalent atoms:
Sc  0.0000  0.0000  0.0000  2 Br 2.55
Au  0.0000  0.0000  0.5000  6 Br 2.79
Br  0.0000  0.0000  0.0986  1 Sc 2.55, 3 Au 2.79

Computed properties:
excess energy over the best structure of this formula in the dataset = 0.764 eV/atom
calculated volume = 315.8 Å³ per cell

***

(8)
VASP calculation (GGA-PBEsol) on an optimized crystal structure of ScAu2Br.

Cell: 6.7502 6.7502 6.7502 Å, 90.00 90.00 90.00°
Last column: nearest neighbours and their distance in Å.
Space group F-43m (No. 216)
One atom of each set of equivalent atoms:
Sc  0.0000  0.0000  0.0000  4 Br 2.92, 4 Au 2.92
Au  0.0000  0.0000  0.5000  4 Br 2.92, 4 Au 2.92
Au  0.2500  0.2500  0.2500  4 Sc 2.92, 4 Au 2.92
Br  0.2500  0.2500  0.7500  4 Sc 2.92, 4 Au 2.92

Computed properties:
excess energy over the best structure of this formula in the dataset = 0.060 eV/atom
calculated volume = 307.6 Å³ per cell

***

(9)
VASP calculation (GGA-PBEsol) on an optimized crystal structure of ScAu2Br.

Cell: 6.8278 6.8278 6.8278 Å, 90.00 90.00 90.00°
Last column: nearest neighbours and their distance in Å.
Space group Fm-3m (No. 225)
One atom of each set of equivalent atoms:
Sc  0.0000  0.0000  0.0000  8 Au 2.96
Au  0.2500  0.2500  0.2500  4 Br 2.96, 4 Sc 2.96
Br  0.0000  0.0000  0.5000  8 Au 2.96

Computed properties:
excess energy over the best structure of this formula in the dataset = 0.244 eV/atom
calculated volume = 318.3 Å³ per cell

***

(10)
VASP calculation (GGA-PBEsol) on an optimized crystal structure of ScAuBr2.

Cell: 3.3517 4.8679 13.0989 Å, 90.00 90.00 90.00°
Last column: nearest neighbours and their distance in Å.
Space group Immm (No. 71)
One atom of each set of equivalent atoms:
Sc  0.0000  0.0000  0.0000  4 Br 2.64, 4 Au 2.96
Au  0.0000  0.0000  0.5000  4 Sc 2.96, 4 Br 3.18
Br  0.0000  0.5000  0.3440  2 Sc 2.64

Computed properties:
excess energy over the best structure of this formula in the dataset = 0.000 eV/atom
calculated volume = 213.7 Å³ per cell

***

(11)
VASP calculation (GGA-PBEsol) on an optimized crystal structure of ScAu2Br.

Cell: 3.7449 3.9539 5.2796 Å, 90.00 90.00 90.00°
Last column: nearest neighbours and their distance in Å.
Space group Pmmm (No. 47)
One atom of each set of equivalent atoms:
Sc  0.0000  0.0000  0.0000  4 Br 2.72
Au  0.0000  0.5000  0.5000  4 Au 2.72
Au  0.5000  0.0000  0.5000  4 Au 2.72
Br  0.5000  0.5000  0.0000  4 Sc 2.72

Computed properties:
excess energy over the best structure of this formula in the dataset = 0.068 eV/atom
calculated volume = 78.2 Å³ per cell

***

(12)
VASP calculation (GGA-PBEsol) on an optimized crystal structure of Sc4AuBr.

Cell: 8.0896 8.0896 8.0896 Å, 90.00 90.00 90.00°
Last column: nearest neighbours and their distance in Å.
Space group F-43m (No. 216)
One atom of each set of equivalent atoms:
Sc  0.1237  0.1237  0.3763  6 Sc 2.83-2.89
Au  0.2500  0.2500  0.7500  12 Sc 3.35, 4 Br 3.50
Br  0.0000  0.0000  0.0000  12 Sc 3.36, 4 Au 3.50

Computed properties:
calculated volume = 529.4 Å³ per cell

***

(13)
VASP calculation (GGA-PBEsol) on an optimized crystal structure of ScAu2Br.

Cell: 3.6038 3.6038 23.2017 Å, 90.00 90.00 120.00°
Last column: nearest neighbours and their distance in Å.
Space group R-3m (No. 166, hexagonal axes)
One atom of each set of equivalent atoms:
Sc  0.0000  0.0000  0.0000  6 Au 2.73
Au  0.0000  0.0000  0.2569  3 Sc 2.73, 3 Br 2.95
Br  0.0000  0.0000  0.5000  6 Au 2.95

Computed properties:
excess energy over the best structure of this formula in the dataset = 0.000 eV/atom
calculated volume = 261.0 Å³ per cell

***

(14)
VASP calculation (GGA-PBEsol) on an optimized crystal structure of SrSc2AuBr.

Cell: 5.0013 5.0013 5.3820 Å, 90.00 90.00 90.00°
Last column: nearest neighbours and their distance in Å.
Space group P4/mmm (No. 123)
One atom of each set of equivalent atoms:
Sr  0.0000  0.0000  0.0000  4 Au 3.54, 8 Sc 3.67
Sc  0.0000  0.5000  0.5000  2 Br 2.50
Au  0.5000  0.5000  0.0000  2 Br 2.69
Br  0.5000  0.5000  0.5000  4 Sc 2.50, 2 Au 2.69

Computed properties:
calculated volume = 134.6 Å³ per cell

***

(15)
VASP calculation (GGA-PBEsol) on an optimized crystal structure of ScWAuBr2.

Cell: 4.7858 4.7858 5.4511 Å, 90.00 90.00 90.00°
Last column: nearest neighbours and their distance in Å.
Space group P4/mmm (No. 123)
One atom of each set of equivalent atoms:
Sc  0.0000  0.0000  0.0000  2 W 2.73
W  0.0000  0.0000  0.5000  4 Br 2.39
Au  0.5000  0.5000  0.0000  4 Sc 3.38, 8 Br 3.63
Br  0.0000  0.5000  0.5000  2 W 2.39

Computed properties:
calculated volume = 124.8 Å³ per cell

***

(16)
VASP calculation (GGA-PBEsol) on an optimized crystal structure of SnAuSeBr2.

Cell: 5.3043 5.3043 5.2969 Å, 90.00 90.00 90.00°
Last column: nearest neighbours and their distance in Å.
Space group P4/mmm (No. 123)
One atom of each set of equivalent atoms:
Sn  0.0000  0.0000  0.0000  2 Se 2.65, 4 Br 2.65
Au  0.5000  0.5000  0.5000  8 Br 3.75, 4 Se 3.75
Se  0.0000  0.0000  0.5000  2 Sn 2.65
Br  0.0000  0.5000  0.0000  2 Sn 2.65

Computed properties:
calculated volume = 149.0 Å³ per cell

***

(17)
VASP calculation (GGA-PBEsol) on an optimized crystal structure of TiAuSe2Br.

Cell: 5.0593 5.0593 4.9403 Å, 90.00 90.00 90.00°
Last column: nearest neighbours and their distance in Å.
Space group P4/mmm (No. 123)
One atom of each set of equivalent atoms:
Ti  0.0000  0.0000  0.0000  8 Se 3.54, 4 Br 3.58
Au  0.5000  0.5000  0.5000  2 Br 2.47, 4 Se 2.53
Se  0.0000  0.5000  0.5000  2 Au 2.53
Br  0.5000  0.5000  0.0000  2 Au 2.47

Computed properties:
calculated volume = 126.5 Å³ per cell

***

(18)
VASP calculation (GGA-PBEsol) on an optimized crystal structure of WAuSe2Br.

Cell: 5.0267 5.0267 4.8956 Å, 90.00 90.00 90.00°
Last column: nearest neighbours and their distance in Å.
Space group P4/mmm (No. 123)
One atom of each set of equivalent atoms:
W  0.0000  0.0000  0.0000  8 Se 3.51, 4 Br 3.55
Au  0.5000  0.5000  0.5000  2 Br 2.45, 4 Se 2.51
Se  0.0000  0.5000  0.5000  2 Au 2.51
Br  0.5000  0.5000  0.0000  2 Au 2.45

Computed properties:
calculated volume = 123.7 Å³ per cell

***

(19)
VASP calculation (GGA-PBEsol) on an optimized crystal structure of SiAuBr2.

Cell: 7.6424 7.6130 3.2652 Å, 90.00 90.53 90.00°
Last column: nearest neighbours and their distance in Å.
Space group C2/m (No. 12)
One atom of each set of equivalent atoms:
Si  0.0000  0.0000  0.0000  4 Br 2.70
Au  0.0000  0.5000  0.0000  4 Br 2.70
Br  0.2500  0.2500  0.0000  2 Si 2.70, 2 Au 2.70

Computed properties:
excess energy over the best structure of this formula in the dataset = 0.497 eV/atom
calculated volume = 190.0 Å³ per cell

***

(20)
VASP calculation (GGA-PBEsol) on an optimized crystal structure of SiAuBr.

Cell: 6.4612 6.4612 6.4612 Å, 90.00 90.00 90.00°
Last column: nearest neighbours and their distance in Å.
Space group F-43m (No. 216)
One atom of each set of equivalent atoms:
Si  0.0000  0.0000  0.0000  4 Br 2.80, 4 Au 2.80
Au  0.2500  0.2500  0.7500  4 Si 2.80
Br  0.2500  0.2500  0.2500  4 Si 2.80

Computed properties:
calculated volume = 269.7 Å³ per cell

***

Number 1: E_form (uncorrected) 0.21 eV per atom. Number 2: E_form (uncorrected) 0.15 eV per atom. Number 3: E_form (uncorrected) 0.18 eV per atom. Number 4: E_form (uncorrected) -0.03 eV per atom. Number 5: E_form (uncorrected) 0.27 eV per atom. Number 6: E_form (uncorrected) 1.18 eV per atom. Number 7: E_form (uncorrected) -0.13 eV per atom. Number 8: E_form (uncorrected) -0.41 eV per atom. Number 9: E_form (uncorrected) -0.23 eV per atom. Number 10: E_form (uncorrected) -0.89 eV per atom. Number 11: E_form (uncorrected) -0.41 eV per atom. Number 12: E_form (uncorrected) 0.22 eV per atom. Number 13: E_form (uncorrected) -0.47 eV per atom. Number 14: E_form (uncorrected) 0.01 eV per atom. Number 15: E_form (uncorrected) 0.59 eV per atom. Number 16: E_form (uncorrected) 0.35 eV per atom. Number 17: E_form (uncorrected) 0.49 eV per atom. Number 18: E_form (uncorrected) 1.45 eV per atom. Number 19: E_form (uncorrected) 0.30 eV per atom. Number 20: E_form (uncorrected) 0.42 eV per atom.